# BaTePt (PBE-GGA, relaxed)
# **ΔE_f (raw)**: -1.0128 eV/atom
# **Total magnetization**: 0.00 μB/f.u.
# **N(E_F)**: 0.04 states/eV/cell
data_BaTePt
_chemical_formula_sum 'Ba2 Te2 Pt2'
_space_group_name_H-M_alt 'P 1'
_space_group_IT_number 1
_cell_length_a 4.785
_cell_length_b 6.192
_cell_length_c 6.964
_cell_angle_alpha 92.69
_cell_angle_beta 97.79
_cell_angle_gamma 102.53
loop_
_space_group_symop_operation_xyz
'x,y,z'
loop_
_atom_site_label
_atom_site_fract_x
_atom_site_fract_y
_atom_site_fract_z
Ba1 0.000 0.000 0.000
Ba2 0.258 0.537 0.466
Te1 0.598 0.435 0.966
Te2 0.889 0.967 0.506
Pt1 0.465 0.128 0.649
Pt2 0.624 0.221 0.278

# BaTePt (PBE-GGA, relaxed)
# **ΔE_f (raw)**: -1.0451 eV/atom
# **Total magnetization**: 0.00 μB/f.u.
# **N(E_F)**: 1.86 states/eV/cell
data_BaTePt
_chemical_formula_sum 'Ba2 Te2 Pt2'
_space_group_name_H-M_alt 'P 1'
_space_group_IT_number 1
_cell_length_a 6.873
_cell_length_b 6.873
_cell_length_c 6.873
_cell_angle_alpha 142.04
_cell_angle_beta 97.09
_cell_angle_gamma 95.05
loop_
_space_group_symop_operation_xyz
'x,y,z'
loop_
_atom_site_label
_atom_site_fract_x
_atom_site_fract_y
_atom_site_fract_z
Ba1 0.247 0.247 0.000
Ba2 0.753 0.753 0.000
Te1 0.301 0.000 0.301
Te2 0.699 0.000 0.699
Pt1 0.145 0.500 0.645
Pt2 0.855 0.500 0.355

# BaTe2Pt (PBE-GGA, relaxed)
# **ΔE_f (raw)**: -0.5568 eV/atom
# **Total magnetization**: 0.00 μB/f.u.
# **ΔE to the lowest computed polymorph**: 1.47 eV per formula unit
# **N(E_F)**: 1.99 states/eV/cell
data_BaTe2Pt
_chemical_formula_sum 'Ba1 Te2 Pt1'
_space_group_name_H-M_alt 'P 1'
_space_group_IT_number 1
_cell_length_a 6.312
_cell_length_b 6.312
_cell_length_c 6.312
_cell_angle_alpha 141.08
_cell_angle_beta 128.92
_cell_angle_gamma 66.03
loop_
_space_group_symop_operation_xyz
'x,y,z'
loop_
_atom_site_label
_atom_site_fract_x
_atom_site_fract_y
_atom_site_fract_z
Ba1 0.000 0.000 0.000
Te1 0.457 0.457 0.000
Te2 0.726 0.226 0.500
Pt1 0.305 0.805 0.500

# BaTe2Pt (PBE-GGA, relaxed)
# **ΔE_f (raw)**: -0.9237 eV/atom
# **Total magnetization**: 0.00 μB/f.u.
# **ΔE to the lowest computed polymorph**: 0.00 eV per formula unit
# **N(E_F)**: 0.50 states/eV/cell
data_BaTe2Pt
_chemical_formula_sum 'Ba1 Te2 Pt1'
_space_group_name_H-M_alt 'P 1'
_space_group_IT_number 1
_cell_length_a 6.628
_cell_length_b 6.628
_cell_length_c 5.385
_cell_angle_alpha 90.45
_cell_angle_beta 90.45
_cell_angle_gamma 37.44
loop_
_space_group_symop_operation_xyz
'x,y,z'
loop_
_atom_site_label
_atom_site_fract_x
_atom_site_fract_y
_atom_site_fract_z
Ba1 0.000 0.000 0.000
Te1 0.189 0.189 0.503
Te2 0.453 0.453 0.499
Pt1 0.820 0.820 0.500